[1]
Material: SiHgTe2
Method: DFT, PBE
State: relaxed

Geometry as POSCAR:
```
SiHgTe2
1.0
2.926 0.000 0.000
0.000 4.750 0.000
-0.025 0.000 10.037
Si Hg Te
1 1 2
direct
0.000 0.000 0.000
0.000 0.500 0.499
0.001 0.000 0.263
0.999 0.500 0.862
```

Results
The formation energy (no corrections) is 0.183 eV/atom. Its energy above the lowest structure with this stoichiometry is 0.1259 eV per atom. Its uncorrected energy is -11.27 eV for the cell shown.


[2]
Material: PrNdPa2P4
Method: DFT, PBE
State: relaxed

Geometry as POSCAR:
```
PrNdPa2P4
1.0
7.033 0.000 0.000
0.000 4.060 0.000
-2.344 0.000 6.666
Pr Nd Pa P
1 1 2 4
direct
0.000 0.000 0.000
0.500 0.500 0.000
0.000 0.500 0.500
0.500 0.000 0.500
0.245 0.000 0.732
0.257 0.500 0.269
0.743 0.500 0.731
0.755 0.000 0.268
```

Results
For the formation energy, the calculation gives -1.424 eV per atom. Its uncorrected energy is -61.57 eV for the cell shown.